(1)
This record from Alexandria via LeMat-Bulk describes an optimized crystal structure of Ac2HgGe4Ir3. The functional is PBE-GGA.

Summary:
total DFT energy (no corrections)	-59.3	eV for the cell shown

Cell lengths 4.488, 4.488, 10.376 Å; angles 90.00, 90.00, 90.00 degrees
Fractional coordinates of all 10 atoms:
1 Ac 0.500 0.000 0.239
2 Ac 0.000 0.500 0.761
3 Hg 0.500 0.500 0.500
4 Ge 0.500 0.500 0.000
5 Ge 0.000 0.000 0.000
6 Ge 0.500 0.000 0.644
7 Ge 0.000 0.500 0.356
8 Ir 0.000 0.000 0.500
9 Ir 0.500 0.000 0.883
10 Ir 0.000 0.500 0.117

(2)
This record from Alexandria via LeMat-Bulk describes an optimized crystal structure of AcLaHgGe. The functional is PBE-GGA.

Summary:
total DFT energy (no corrections)	-16.2	eV for the cell shown

Cell lengths 5.524, 5.524, 5.524 Å; angles 60.00, 60.00, 60.00 degrees
Fractional coordinates of all 4 atoms:
1 Ac 0.000 0.000 0.000
2 Ge 0.250 0.250 0.250
3 Hg 0.750 0.750 0.750
4 La 0.500 0.500 0.500

(3)
This record from Alexandria via LeMat-Bulk describes an optimized crystal structure of Li4Ac2HgGe3. The functional is PBE-GGA.

Summary:
total DFT energy (no corrections)	-34.8	eV for the cell shown

Cell lengths 4.565, 4.565, 10.442 Å; angles 90.00, 90.00, 90.00 degrees
Fractional coordinates of all 10 atoms:
1 Li 0.500 0.500 0.000
2 Li 0.000 0.000 0.000
3 Li 0.500 0.000 0.626
4 Li 0.000 0.500 0.374
5 Ac 0.500 0.000 0.237
6 Ac 0.000 0.500 0.763
7 Hg 0.500 0.500 0.500
8 Ge 0.000 0.000 0.500
9 Ge 0.500 0.000 0.868
10 Ge 0.000 0.500 0.132

(4)
This record from Alexandria via LeMat-Bulk describes an optimized crystal structure of AcLuHgGe. The functional is PBE-GGA.

Summary:
total DFT energy (no corrections)	-15.3	eV for the cell shown

Cell lengths 5.371, 5.371, 5.371 Å; angles 60.00, 60.00, 60.00 degrees
Fractional coordinates of all 4 atoms:
1 Ac 0.000 0.000 0.000
2 Lu 0.500 0.500 0.500
3 Ge 0.750 0.750 0.750
4 Hg 0.250 0.250 0.250

(5)
This record from Alexandria via LeMat-Bulk describes an optimized crystal structure of AcMgHgGe. The functional is PBE-GGA.

Summary:
distance to the lowest polymorph of the same formula	0	meV/atom

Cell lengths 4.635, 4.641, 6.410 Å; angles 111.24, 90.00, 119.96 degrees
Fractional coordinates of all 4 atoms:
1 Ac 0.621 0.243 0.506
2 Mg 0.108 0.217 0.968
3 Hg 0.841 0.682 0.167
4 Ge 0.395 0.791 0.827

(6)
This record from Alexandria via LeMat-Bulk describes an optimized crystal structure of Ac2Mg4HgGe3. The functional is PBE-GGA.

Summary:
total DFT energy (no corrections)	-33.5	eV for the cell shown

Cell lengths 4.694, 4.694, 11.133 Å; angles 90.00, 90.00, 90.00 degrees
Fractional coordinates of all 10 atoms:
1 Ac 0.500 0.000 0.258
2 Ac 0.000 0.500 0.742
3 Mg 0.500 0.500 0.000
4 Mg 0.000 0.000 0.000
5 Mg 0.500 0.000 0.625
6 Mg 0.000 0.500 0.375
7 Hg 0.500 0.500 0.500
8 Ge 0.000 0.000 0.500
9 Ge 0.500 0.000 0.863
10 Ge 0.000 0.500 0.137

(7)
This record from Alexandria via LeMat-Bulk describes an optimized crystal structure of AcMgHgGe. The functional is PBE-GGA.

Summary:
distance to the lowest polymorph of the same formula	93	meV/atom

Cell lengths 5.322, 5.322, 5.322 Å; angles 60.00, 60.00, 60.00 degrees
Fractional coordinates of all 4 atoms:
1 Mg 0.500 0.500 0.500
2 Ac 0.000 0.000 0.000
3 Ge 0.250 0.250 0.250
4 Hg 0.750 0.750 0.750

(8)
This record from Alexandria via LeMat-Bulk describes an optimized crystal structure of Ac4HgGeN. The functional is PBE-GGA.

Summary:
raw formation energy	-0.635	eV/atom

Cell lengths 7.278, 7.287, 9.273 Å; angles 90.00, 113.11, 90.00 degrees
Fractional coordinates of all 14 atoms:
1 Ac 0.936 0.250 0.871
2 Ac 0.421 0.750 0.843
3 Ac 0.064 0.750 0.129
4 Ac 0.579 0.250 0.157
5 Ac 0.500 0.500 0.500
6 Ac 0.000 0.000 0.500
7 Ac 0.500 0.000 0.500
8 Ac 0.000 0.500 0.500
9 Hg 0.615 0.750 0.231
10 Hg 0.385 0.250 0.769
11 Ge 0.118 0.250 0.236
12 Ge 0.882 0.750 0.764
13 N 0.274 0.750 0.548
14 N 0.726 0.250 0.452

(9)
This record from Alexandria via LeMat-Bulk describes an optimized crystal structure of NaAcHgGe. The functional is PBE-GGA.

Summary:
total DFT energy (no corrections)	-12.1	eV for the cell shown

Cell lengths 5.414, 5.414, 5.414 Å; angles 60.00, 60.00, 60.00 degrees
Fractional coordinates of all 4 atoms:
1 Na 0.750 0.750 0.750
2 Ac 0.250 0.250 0.250
3 Ge 0.000 0.000 0.000
4 Hg 0.500 0.500 0.500

(10)
This record from Alexandria via LeMat-Bulk describes an optimized crystal structure of AcNdHgGe. The functional is PBE-GGA.

Summary:
total DFT energy (no corrections)	-15.9	eV for the cell shown

Cell lengths 5.481, 5.481, 5.481 Å; angles 60.00, 60.00, 60.00 degrees
Fractional coordinates of all 4 atoms:
1 Ge 0.500 0.500 0.500
2 Ac 0.250 0.250 0.250
3 Nd 0.750 0.750 0.750
4 Hg 0.000 0.000 0.000

(11)
This record from Alexandria via LeMat-Bulk describes an optimized crystal structure of Ac2Ni3HgGe4. The functional is PBE-GGA.

Summary:
total DFT energy (no corrections)	-49.6	eV for the cell shown

Cell lengths 4.381, 4.381, 10.295 Å; angles 90.00, 90.00, 90.00 degrees
Fractional coordinates of all 10 atoms:
1 Ac 0.500 0.000 0.240
2 Ac 0.000 0.500 0.760
3 Ni 0.000 0.000 0.500
4 Ni 0.500 0.000 0.888
5 Ni 0.000 0.500 0.112
6 Hg 0.500 0.500 0.500
7 Ge 0.500 0.500 0.000
8 Ge 0.000 0.000 0.000
9 Ge 0.500 0.000 0.652
10 Ge 0.000 0.500 0.348

(12)
This record from Alexandria via LeMat-Bulk describes an optimized crystal structure of Ac2Ni4HgGe3. The functional is PBE-GGA.

Summary:
total DFT energy (no corrections)	-50.5	eV for the cell shown

Cell lengths 4.353, 4.353, 10.088 Å; angles 90.00, 90.00, 90.00 degrees
Fractional coordinates of all 10 atoms:
1 Ac 0.500 0.000 0.241
2 Ac 0.000 0.500 0.759
3 Ni 0.500 0.500 0.000
4 Ni 0.000 0.000 0.000
5 Ni 0.500 0.000 0.643
6 Ni 0.000 0.500 0.357
7 Hg 0.500 0.500 0.500
8 Ge 0.000 0.000 0.500
9 Ge 0.500 0.000 0.884
10 Ge 0.000 0.500 0.116

(13)
This record from Alexandria via LeMat-Bulk describes an optimized crystal structure of Ac2HgGeO6. The functional is PBE-GGA.

Summary:
raw formation energy	-2.190	eV/atom

Cell lengths 5.062, 5.625, 5.625 Å; angles 90.00, 90.00, 90.00 degrees
Fractional coordinates of all 10 atoms:
1 Ac 0.021 0.500 0.000
2 Ac 0.021 0.000 0.500
3 Hg 0.538 0.500 0.500
4 Ge 0.604 0.000 0.000
5 O 0.726 0.225 0.225
6 O 0.726 0.225 0.775
7 O 0.111 0.500 0.500
8 O 0.248 0.000 0.000
9 O 0.726 0.775 0.775
10 O 0.726 0.775 0.225

(14)
This record from Alexandria via LeMat-Bulk describes an optimized crystal structure of AcPaHgGe. The functional is PBE-GGA.

Summary:
total DFT energy (no corrections)	-18.9	eV for the cell shown

Cell lengths 5.392, 5.392, 5.392 Å; angles 60.00, 60.00, 60.00 degrees
Fractional coordinates of all 4 atoms:
1 Ac 0.500 0.500 0.500
2 Pa 0.000 0.000 0.000
3 Ge 0.750 0.750 0.750
4 Hg 0.250 0.250 0.250

(15)
This record from Alexandria via LeMat-Bulk describes an optimized crystal structure of AcHgGePb. The functional is PBE-GGA.

Summary:
total DFT energy (no corrections)	-14.0	eV for the cell shown

Cell lengths 5.471, 5.471, 5.471 Å; angles 60.00, 60.00, 60.00 degrees
Fractional coordinates of all 4 atoms:
1 Pb 0.250 0.250 0.250
2 Ac 0.750 0.750 0.750
3 Ge 0.500 0.500 0.500
4 Hg 0.000 0.000 0.000

(16)
This record from Alexandria via LeMat-Bulk describes an optimized crystal structure of Ac2HgGePb. The functional is PBE-GGA.

Summary:
total DFT energy (no corrections)	-38.4	eV for the cell shown

Cell lengths 4.731, 7.933, 9.441 Å; angles 104.55, 90.00, 90.00 degrees
Fractional coordinates of all 10 atoms:
1 Ac 0.750 0.814 0.597
2 Ac 0.750 0.757 0.028
3 Ac 0.250 0.186 0.403
4 Ac 0.250 0.243 0.972
5 Hg 0.250 0.522 0.715
6 Hg 0.750 0.478 0.285
7 Ge 0.250 0.857 0.829
8 Ge 0.750 0.143 0.171
9 Pb 0.250 0.711 0.301
10 Pb 0.750 0.289 0.699

(17)
This record from Alexandria via LeMat-Bulk describes an optimized crystal structure of Ac3Hg2GePd8. The functional is PBE-GGA.

Summary:
total DFT energy (no corrections)	-67.2	eV for the cell shown

Cell lengths 5.696, 5.696, 10.704 Å; angles 90.00, 90.00, 120.00 degrees
Fractional coordinates of all 14 atoms:
1 Ac 0.333 0.667 0.581
2 Ac 0.667 0.333 0.419
3 Ac 0.000 0.000 0.000
4 Hg 0.333 0.667 0.097
5 Hg 0.667 0.333 0.903
6 Ge 0.000 0.000 0.500
7 Pd 0.333 0.667 0.847
8 Pd 0.667 0.333 0.153
9 Pd 0.166 0.834 0.307
10 Pd 0.834 0.166 0.693
11 Pd 0.166 0.333 0.307
12 Pd 0.834 0.667 0.693
13 Pd 0.667 0.834 0.307
14 Pd 0.333 0.166 0.693

(18)
This record from Alexandria via LeMat-Bulk describes an optimized crystal structure of Ac3Hg2GePd9. The functional is PBE-GGA.

Summary:
total DFT energy (no corrections)	-69.8	eV for the cell shown

Cell lengths 7.015, 7.015, 8.775 Å; angles 90.00, 90.00, 120.00 degrees
Fractional coordinates of all 15 atoms:
1 Ac 0.333 0.667 0.723
2 Ac 0.000 0.000 0.000
3 Ac 0.667 0.333 0.277
4 Hg 0.333 0.667 0.205
5 Hg 0.667 0.333 0.795
6 Ge 0.000 0.000 0.500
7 Pd 0.869 0.131 0.708
8 Pd 0.869 0.738 0.708
9 Pd 0.262 0.131 0.708
10 Pd 0.738 0.869 0.292
11 Pd 0.131 0.262 0.292
12 Pd 0.131 0.869 0.292
13 Pd 0.500 0.000 0.000
14 Pd 0.000 0.500 0.000
15 Pd 0.500 0.500 0.000

(19)
This record from Alexandria via LeMat-Bulk describes an optimized crystal structure of Ac3HgGe6Pd2. The functional is PBE-GGA.

Summary:
total DFT energy (no corrections)	-55.2	eV for the cell shown

Cell lengths 6.294, 6.294, 8.814 Å; angles 90.00, 90.00, 120.00 degrees
Fractional coordinates of all 12 atoms:
1 Ac 0.333 0.667 0.627
2 Ac 0.667 0.333 0.373
3 Ac 0.000 0.000 0.000
4 Hg 0.000 0.000 0.500
5 Ge 0.607 0.803 0.271
6 Ge 0.197 0.393 0.271
7 Ge 0.197 0.803 0.271
8 Ge 0.803 0.607 0.729
9 Ge 0.393 0.197 0.729
10 Ge 0.803 0.197 0.729
11 Pd 0.667 0.333 0.976
12 Pd 0.333 0.667 0.024

(20)
This record from Alexandria via LeMat-Bulk describes an optimized crystal structure of Ac3Hg2GePd6. The functional is PBE-GGA.

Summary:
total DFT energy (no corrections)	-57.0	eV for the cell shown

Cell lengths 5.933, 5.933, 8.995 Å; angles 90.00, 90.00, 120.00 degrees
Fractional coordinates of all 12 atoms:
1 Ac 0.333 0.667 0.624
2 Ac 0.667 0.333 0.376
3 Ac 0.000 0.000 0.000
4 Hg 0.667 0.333 0.981
5 Hg 0.333 0.667 0.019
6 Ge 0.000 0.000 0.500
7 Pd 0.655 0.828 0.291
8 Pd 0.172 0.345 0.291
9 Pd 0.172 0.828 0.291
10 Pd 0.828 0.655 0.709
11 Pd 0.345 0.172 0.709
12 Pd 0.828 0.172 0.709

Number 1: magnetization 0.0 μB/f.u.. Number 2: magnetization 0.0 μB/f.u.. Number 3: magnetization 0.0 μB/f.u.. Number 4: magnetization 0.0 μB/f.u.. Number 5: magnetization 0.0 μB/f.u.. Number 6: magnetization 0.0 μB/f.u.. Number 7: magnetization 0.0 μB/f.u.. Number 8: magnetization 0.0 μB/f.u.. Number 9: magnetization 0.0 μB/f.u.. Number 10: magnetization 0.0 μB/f.u.. Number 11: magnetization 0.0 μB/f.u.. Number 12: magnetization 0.0 μB/f.u.. Number 13: magnetization 0.0 μB/f.u.. Number 14: magnetization 1.7 μB/f.u.. Number 15: magnetization 0.0 μB/f.u.. Number 16: magnetization 0.0 μB/f.u.. Number 17: magnetization 0.0 μB/f.u.. Number 18: magnetization 0.0 μB/f.u.. Number 19: magnetization 0.0 μB/f.u.. Number 20: magnetization 0.0 μB/f.u..